Pu2Pa: relaxed, PBE.

Geometry as POSCAR:
```
Pu2Pa
1.0
0.208 -5.613 6.518
-7.335 -2.631 3.647
-2.740 -8.070 -1.183
Pa Pu
2 4
Direct
0.250 0.250 0.250
0.000 0.000 0.000
0.125 0.125 0.125
0.125 0.625 0.125
0.625 0.125 0.125
0.125 0.125 0.625
```

space-group type = No. 227
raw total energy = -10.49 eV/atom
ΔH_f (0 K) = 2.0964 eV/atom
M_tot = 25.98 μB per cell

PuPa: relaxed, PBE.

Geometry as POSCAR:
```
PuPa
1.0
8.084 0.000 0.000
0.000 4.422 0.000
0.000 0.000 5.014
Pa Pu
4 4
Direct
0.335 0.250 0.997
0.835 0.250 0.503
0.165 0.750 0.497
0.665 0.750 0.003
0.987 0.750 0.061
0.013 0.250 0.939
0.513 0.250 0.561
0.487 0.750 0.439
```

space-group type = No. 62
distance to the lowest polymorph of the same formula = 0.0 meV/atom
raw total energy = -11.90 eV/atom
ΔH_f (0 K) = -0.0922 eV/atom
M_tot = 0.00 μB per cell

PuPa: relaxed, PBE.

Geometry as POSCAR:
```
PuPa
1.0
0.000 2.698 2.698
2.698 0.000 2.698
2.698 2.698 0.000
Pu Pa
1 1
Direct
0.500 0.500 0.500
0.000 0.000 0.000
```

space-group type = No. 225
distance to the lowest polymorph of the same formula = 633.4 meV/atom
raw total energy = -11.27 eV/atom
ΔH_f (0 K) = 0.5412 eV/atom
M_tot = 2.17 μB per cell

PuPa: relaxed, PBE.

Geometry as POSCAR:
```
PuPa
1.0
-0.784 0.504 -3.086
-2.299 -0.052 2.259
0.596 5.403 0.732
Pu Pa
1 1
Direct
0.333 0.667 0.250
0.667 0.333 0.750
```

space-group type = No. 187
distance to the lowest polymorph of the same formula = 166.6 meV/atom
raw total energy = -11.74 eV/atom
ΔH_f (0 K) = 0.0744 eV/atom
M_tot = 5.03 μB per cell

PuPa: relaxed, PBE.

Geometry as POSCAR:
```
PuPa
1.0
3.762 0.000 0.000
-1.881 3.258 0.000
0.000 0.000 6.533
Pu Pa
2 2
Direct
0.000 0.000 0.500
0.000 0.000 0.000
0.667 0.333 0.250
0.333 0.667 0.750
```

space-group type = No. 194
distance to the lowest polymorph of the same formula = 608.5 meV/atom
raw total energy = -11.29 eV/atom
ΔH_f (0 K) = 0.5163 eV/atom
M_tot = 4.55 μB per cell

PuPaRe: relaxed, PBE.

Geometry as POSCAR:
```
PuPaRe
1.0
0.000 3.143 3.143
3.143 0.000 3.143
3.143 3.143 0.000
Re Pu Pa
1 1 1
Direct
0.750 0.750 0.750
0.000 0.000 0.000
0.250 0.250 0.250
```

space-group type = No. 216
raw total energy = -11.35 eV/atom
ΔH_f (0 K) = 0.6674 eV/atom
M_tot = 0.08 μB per cell

PuPaRe4: relaxed, PBE.

Geometry as POSCAR:
```
PuPaRe4
1.0
0.000 3.802 3.802
3.802 0.000 3.802
3.802 3.802 0.000
Re Pu Pa
4 1 1
Direct
0.875 0.875 0.374
0.374 0.875 0.875
0.875 0.374 0.875
0.875 0.875 0.875
0.250 0.250 0.250
0.500 0.500 0.500
```

space-group type = No. 216
raw total energy = -12.06 eV/atom
ΔH_f (0 K) = 0.1549 eV/atom
M_tot = 0.02 μB per cell

PuPaSi3: relaxed, PBE.

Geometry as POSCAR:
```
PuPaSi3
1.0
-0.196 12.222 -2.366
-2.304 -11.051 5.253
3.116 0.531 2.482
Si Pu Pa
6 2 2
Direct
0.619 0.381 0.250
0.476 0.524 0.750
0.326 0.674 0.250
0.381 0.619 0.750
0.674 0.326 0.750
0.524 0.476 0.250
0.929 0.071 0.250
0.071 0.929 0.750
0.794 0.206 0.750
0.206 0.794 0.250
```

space-group type = No. 63
raw total energy = -8.48 eV/atom
M_tot = 11.09 μB per cell